Record 1
{
  "formula": "Y2Ga4FeIr",
  "functional": "PBE",
  "state": "relaxed",
  "crystal_system": "orthorhombic",
  "spacegroup": "No. 38",
  "cell": [[6.720, 0.000, 0.000], [0.000, 2.107, 5.128], [0.000, -2.107, 5.128]],
  "species": ["Ga", "Ga", "Ga", "Ga", "Fe", "Ir", "Y", "Y"],
  "frac_coords": [[0.809, 0.863, 0.863], [0.191, 0.863, 0.863], [0.299, 0.140, 0.140], [0.701, 0.140, 0.140], [0.000, 0.292, 0.292], [0.500, 0.706, 0.706], [0.000, 0.576, 0.576], [0.500, 0.422, 0.422]]
}

=====

Record 2
{
  "formula": "KGaFe",
  "functional": "PBE",
  "state": "relaxed",
  "crystal_system": "cubic",
  "spacegroup": "No. 216",
  "relative_energy_mev_per_atom": 411,
  "cell": [[1.886, -2.892, 3.816], [-3.174, -2.849, 2.880], [0.037, -5.128, -0.434]],
  "species": ["Fe", "K", "Ga"],
  "frac_coords": [[0.250, 0.250, 0.250], [0.000, 0.000, 0.000], [0.750, 0.750, 0.750]]
}

=====

Record 3
{
  "formula": "KGaFe",
  "functional": "PBE",
  "state": "relaxed",
  "crystal_system": "cubic",
  "spacegroup": "No. 216",
  "relative_energy_mev_per_atom": 0,
  "cell": [[0.000, 3.459, 3.459], [3.459, 0.000, 3.459], [3.459, 3.459, 0.000]],
  "species": ["Fe", "Ga", "K"],
  "frac_coords": [[0.250, 0.250, 0.250], [0.000, 0.000, 0.000], [0.750, 0.750, 0.750]]
}

=====

Record 4
{
  "formula": "LaGaFe",
  "functional": "PBE",
  "state": "relaxed",
  "crystal_system": "cubic",
  "spacegroup": "No. 216",
  "cell": [[-0.153, -1.336, 4.520], [-3.270, 1.801, 2.882], [-3.538, -2.712, 1.539]],
  "species": ["Fe", "Ga", "La"],
  "frac_coords": [[0.250, 0.250, 0.250], [0.750, 0.750, 0.750], [0.000, 0.000, 0.000]]
}

=====

Record 5
{
  "formula": "LaGaFe",
  "functional": "PBE",
  "state": "relaxed",
  "crystal_system": "cubic",
  "spacegroup": "No. 216",
  "cell": [[4.239, 2.053, 0.011], [0.974, 3.373, 3.139], [3.020, -0.852, 3.512]],
  "species": ["Fe", "La", "Ga"],
  "frac_coords": [[0.250, 0.250, 0.250], [0.750, 0.750, 0.750], [0.000, 0.000, 0.000]]
}

=====

Record 6
{
  "formula": "LaY2Ga2Fe4",
  "functional": "PBE",
  "state": "relaxed",
  "crystal_system": "monoclinic",
  "spacegroup": "No. 12",
  "cell": [[5.075, -2.094, 0.000], [5.075, 2.094, 0.000], [-1.270, 0.000, 7.959]],
  "species": ["La", "Fe", "Fe", "Fe", "Fe", "Ga", "Ga", "Y", "Y"],
  "frac_coords": [[0.000, 0.000, 0.000], [0.244, 0.244, 0.923], [0.756, 0.756, 0.077], [0.923, 0.923, 0.370], [0.077, 0.077, 0.630], [0.324, 0.324, 0.233], [0.676, 0.676, 0.767], [0.628, 0.628, 0.382], [0.372, 0.372, 0.618]]
}

=====

Record 7
{
  "formula": "LiGaFe2",
  "functional": "PBE",
  "state": "relaxed",
  "crystal_system": "cubic",
  "spacegroup": "No. 221",
  "cell": [[-0.224, -3.240, 4.799], [5.535, 1.289, 1.129], [-1.699, 4.628, 3.046]],
  "species": ["Ga", "Ga", "Ga", "Ga", "Fe", "Fe", "Fe", "Fe", "Fe", "Fe", "Fe", "Fe", "Li", "Li", "Li", "Li"],
  "frac_coords": [[0.500, 0.000, 0.500], [0.500, 0.500, 0.500], [0.500, 0.500, 0.000], [0.000, 0.500, 0.500], [0.754, 0.754, 0.246], [0.246, 0.246, 0.246], [0.754, 0.246, 0.754], [0.754, 0.754, 0.754], [0.246, 0.754, 0.754], [0.246, 0.246, 0.754], [0.754, 0.246, 0.246], [0.246, 0.754, 0.246], [0.000, 0.000, 0.500], [0.000, 0.000, 0.000], [0.000, 0.500, 0.000], [0.500, 0.000, 0.000]]
}

=====

Record 8
{
  "formula": "LiGa2Fe",
  "functional": "PBE",
  "state": "relaxed",
  "crystal_system": "cubic",
  "spacegroup": "No. 216",
  "cell": [[2.138, 1.234, 3.491], [-2.138, 1.234, 3.491], [0.000, -2.469, 3.491]],
  "species": ["Fe", "Ga", "Ga", "Li"],
  "frac_coords": [[0.500, 0.500, 0.500], [0.750, 0.750, 0.750], [0.000, 0.000, 0.000], [0.250, 0.250, 0.250]]
}

=====

no.,DFT total energy (eV/atom)
1,-5.85
2,-2.78
3,-3.19
4,-4.69
5,-5.19
6,-6.56
7,-5.23
8,-4.01